CeSm5Si4 PBE-GGA relaxed; raw formation energy = -486 meV per atom; final energy = -5.6080 eV per atom; density of states at the Fermi level = 10.70 states/eV per cell; magnetic moment = 0.87 μB/cell; volume = 26.9 Å³/atom
1.0
-0.8329 -4.3474 2.4266
6.6716 -1.7028 -0.7607
-4.5716 7.2814 6.2254
Si Ce Sm
4 1 5
Cartesian
2.7517 1.7684 4.1128
-0.4386 1.5999 7.9664
-1.4847 -0.5373 3.7784
1.7056 -0.3687 -0.0751
-0.4165 -2.1737 1.2133
2.9193 -3.0251 0.8329
0.5366 1.1302 2.2090
0.7305 0.1010 5.6822
-2.7008 0.9837 6.0858
3.9679 0.2475 1.8054